Record 1
The following is a GGA-PBEsol calculation of a geometry-optimized CaNiSb2 structure, from Alexandria via LeMat-Bulk.

Output
The calculation puts the total energy at -4.454 eV/atom.

Unit cell a=7.004 b=7.004 c=7.004 alpha=90.00 beta=90.00 gamma=90.00
Space group Fm-3m (No. 225)
Inequivalent atoms, fractional coordinates:
1 Ca 0.000 0.000 0.000 (multiplicity 4)
2 Ni 0.000 0.000 0.500 (multiplicity 4)
3 Sb 0.250 0.250 0.250 (multiplicity 8)

=====

Record 2
The following is a GGA-PBEsol calculation of a geometry-optimized CsCu2F5 structure, from Alexandria via LeMat-Bulk.

Output
The calculation puts the total energy at -4.263 eV/atom.

Unit cell a=7.033 b=7.351 c=10.852 alpha=90.00 beta=121.55 gamma=90.00
Space group P2_1/c (No. 14)
Inequivalent atoms, fractional coordinates:
1 Cs 0.129 0.013 0.385 (multiplicity 4)
2 Cu 0.000 0.000 0.000 (multiplicity 2)
3 Cu 0.498 0.248 0.758 (multiplicity 4)
4 Cu 0.500 0.000 0.000 (multiplicity 2)
5 F 0.186 0.015 0.918 (multiplicity 4)
6 F 0.193 0.195 0.146 (multiplicity 4)
7 F 0.197 0.689 0.644 (multiplicity 4)
8 F 0.420 0.503 0.233 (multiplicity 4)
9 F 0.491 0.750 0.026 (multiplicity 4)

=====

Which formula does entry 1 have? CaNiSb2

=====

Number 2 is which compound? CsCu2F5